This record from the Alexandria database describes an optimized crystal structure of CeSc2Cl. The functional is GGA-PBE.

Summary:
Formation energy without anion corrections ... -0.38 eV per atom
Magnetization ... 0.00 μB/cell
Final energy ... -5.49 eV per atom

a b c (Å): 3.181 3.181 10.399
angles (deg): 81.20 81.20 60.00
Element x y z (fractional)
Ce (0.000, 0.000, 0.000)
Cl (0.500, 0.500, 0.500)
Sc (0.901, 0.901, 0.298)
Sc (0.099, 0.099, 0.702)



This record from the Alexandria database describes an optimized crystal structure of Ce2ScCl6. The functional is GGA-PBE.

Summary:
Formation energy without anion corrections ... -1.92 eV per atom
Magnetization ... 3.74 μB/cell
Final energy ... -5.17 eV per atom

a b c (Å): 3.884 7.142 10.378
angles (deg): 78.72 79.21 74.22
Site moments in Bohr magnetons follow the coordinates.
Element x y z (fractional)
Cl (0.791, 0.297, 0.121)  -0.01
Cl (0.658, 0.221, 0.464)  -0.01
Cl (0.009, 0.211, 0.772)  -0.01
Cl (0.342, 0.779, 0.536)  -0.01
Cl (0.991, 0.789, 0.228)  -0.01
Cl (0.209, 0.703, 0.879)  -0.01
Sc (0.000, 0.000, 0.000)  0.35
Ce (0.318, 0.071, 0.293)  1.29
Ce (0.682, 0.929, 0.707)  1.29



This record from the Alexandria database describes an optimized crystal structure of CeSe2Cl5. The functional is GGA-PBE.

Summary:
Formation energy without anion corrections ... -1.15 eV per atom
Magnetization ... 1.10 μB/cell
Final energy ... -3.92 eV per atom

a b c (Å): 5.479 9.119 7.626
angles (deg): 62.84 69.99 69.19
Site moments in Bohr magnetons follow the coordinates.
Element x y z (fractional)
Cl (0.993, 0.163, 0.620)  -0.01
Cl (0.405, 0.007, 0.028)  -0.01
Cl (0.732, 0.296, 0.046)  0.00
Cl (0.809, 0.818, 0.431)  0.00
Cl (0.117, 0.729, 0.961)  -0.01
Ce (0.904, 0.996, 0.042)  0.30
Se (0.776, 0.470, 0.519)  0.20
Se (0.486, 0.521, 0.352)  0.30



This record from the Alexandria database describes an optimized crystal structure of Ce2SeCl2. The functional is GGA-PBE.

Summary:
Formation energy without anion corrections ... -1.93 eV per atom
Magnetization ... 2.15 μB/cell
Final energy ... -5.74 eV per atom

a b c (Å): 4.138 4.139 9.918
angles (deg): 90.31 90.00 119.99
Site moments in Bohr magnetons follow the coordinates.
Element x y z (fractional)
Se (0.500, 0.000, 0.500)  -0.02
Cl (0.164, 0.327, 0.166)  -0.01
Cl (0.836, 0.673, 0.834)  -0.01
Ce (0.832, 0.664, 0.332)  0.93
Ce (0.168, 0.336, 0.668)  0.93



What did we get for D(E_F)? Answer: 5.31 13.41 5.42 11.80 states/eV/cell, in the order shown.